First-principles (PBE) data for a relaxed structure of PrBeIr, as listed in OQMD via LeMat-Bulk.

## Properties
**Spin magnetization**: 0.0 μB/cell
**DFT total energy**: -5.82 eV per atom

abc: 6.169 6.169 6.169
angles: 90.00 90.00 90.00
Space group F-43m (No. 216)
Asymmetric unit:
1 Pr 0.000 0.000 0.000 x4
2 Be 0.250 0.250 0.750 x4
3 Ir 0.000 0.000 0.500 x4

---

First-principles (PBE) data for a relaxed structure of BeIr2Pt, as listed in OQMD via LeMat-Bulk.

## Properties
**Spin magnetization**: 0.1 μB/cell
**DFT total energy**: -6.69 eV per atom

abc: 6.077 6.077 6.077
angles: 90.00 90.00 90.00
Space group F-43m (No. 216)
Asymmetric unit:
1 Be 0.000 0.000 0.000 x4
2 Ir 0.000 0.000 0.500 x4
3 Ir 0.250 0.250 0.750 x4
4 Pt 0.250 0.250 0.250 x4

---

First-principles (PBE) data for a relaxed structure of BeIrPt2, as listed in OQMD via LeMat-Bulk.

## Properties
**Spin magnetization**: 1.8 μB/cell
**DFT total energy**: -6.11 eV per atom

abc: 6.100 6.100 6.100
angles: 90.00 90.00 90.00
Space group F-43m (No. 216)
Asymmetric unit:
1 Be 0.000 0.000 0.000 x4
2 Ir 0.250 0.250 0.250 x4
3 Pt 0.000 0.000 0.500 x4
4 Pt 0.250 0.250 0.750 x4

---

First-principles (PBE) data for a relaxed structure of PuBeIr, as listed in OQMD via LeMat-Bulk.

## Properties
**Spin magnetization**: 20.0 μB/cell
**DFT total energy**: -8.31 eV per atom

abc: 6.280 6.280 6.280
angles: 90.00 90.00 90.00
Space group F-43m (No. 216)
Asymmetric unit:
1 Pu 0.000 0.000 0.000 x4
2 Be 0.250 0.250 0.750 x4
3 Ir 0.250 0.250 0.250 x4

---

First-principles (PBE) data for a relaxed structure of PuBeIr, as listed in OQMD via LeMat-Bulk.

## Properties
**Spin magnetization**: 20.9 μB/cell
**DFT total energy**: -8.98 eV per atom

abc: 5.972 5.972 5.972
angles: 90.00 90.00 90.00
Space group F-43m (No. 216)
Asymmetric unit:
1 Pu 0.000 0.000 0.000 x4
2 Be 0.250 0.250 0.750 x4
3 Ir 0.000 0.000 0.500 x4

---

First-principles (PBE) data for a relaxed structure of RbBeIrS3, as listed in OQMD via LeMat-Bulk.

## Properties
**Spin magnetization**: 0.0 μB/cell
**DFT total energy**: -5.06 eV per atom

abc: 3.692 14.645 9.222
angles: 90.00 90.00 90.00
Space group Cmcm (No. 63)
Asymmetric unit:
1 Rb 0.000 0.247 0.250 x4
2 Be 0.000 0.028 0.750 x4
3 Ir 0.000 0.500 0.000 x4
4 S 0.000 0.101 0.557 x8
5 S 0.000 0.443 0.750 x4

---

First-principles (PBE) data for a relaxed structure of RbBeIrSe3, as listed in OQMD via LeMat-Bulk.

## Properties
**Spin magnetization**: 0.0 μB/cell
**DFT total energy**: -4.61 eV per atom

abc: 3.867 15.284 9.712
angles: 90.00 90.00 90.00
Space group Cmcm (No. 63)
Asymmetric unit:
1 Rb 0.000 0.250 0.250 x4
2 Be 0.000 0.029 0.750 x4
3 Ir 0.000 0.500 0.000 x4
4 Se 0.000 0.103 0.554 x8
5 Se 0.000 0.441 0.750 x4

---

First-principles (PBE) data for a relaxed structure of RbBeTe3Ir, as listed in OQMD via LeMat-Bulk.

## Properties
**Spin magnetization**: 0.0 μB/cell
**DFT total energy**: -4.20 eV per atom

abc: 4.124 16.190 10.517
angles: 90.00 90.00 90.00
Space group Cmcm (No. 63)
Asymmetric unit:
1 Rb 0.000 0.246 0.250 x4
2 Be 0.000 0.467 0.750 x4
3 Te 0.000 0.057 0.750 x4
4 Te 0.000 0.395 0.546 x8
5 Ir 0.000 0.000 0.000 x4

---

First-principles (PBE) data for a relaxed structure of BeReIr2, as listed in OQMD via LeMat-Bulk.

## Properties
**Spin magnetization**: 1.8 μB/cell
**DFT total energy**: -8.28 eV per atom

abc: 6.019 6.019 6.019
angles: 90.00 90.00 90.00
Space group F-43m (No. 216)
Asymmetric unit:
1 Be 0.000 0.000 0.000 x4
2 Re 0.250 0.250 0.250 x4
3 Ir 0.000 0.000 0.500 x4
4 Ir 0.250 0.250 0.750 x4

---

First-principles (PBE) data for a relaxed structure of Be2ReIr2, as listed in OQMD via LeMat-Bulk.

## Properties
**Spin magnetization**: 0.0 μB/cell
**DFT total energy**: -7.84 eV per atom

abc: 6.576 6.576 2.741
angles: 90.00 90.00 90.00
Space group P4/mbm (No. 127)
Asymmetric unit:
1 Be 0.121 0.379 0.000 x4
2 Re 0.000 0.000 0.000 x2
3 Ir 0.174 0.674 0.500 x4

---

First-principles (PBE) data for a relaxed structure of BeSbIr2, as listed in OQMD via LeMat-Bulk.

## Properties
**Spin magnetization**: 0.0 μB/cell
**DFT total energy**: -6.01 eV per atom

abc: 6.278 6.278 6.278
angles: 90.00 90.00 90.00
Space group F-43m (No. 216)
Asymmetric unit:
1 Be 0.000 0.000 0.000 x4
2 Sb 0.250 0.250 0.750 x4
3 Ir 0.000 0.000 0.500 x4
4 Ir 0.250 0.250 0.250 x4

---

First-principles (PBE) data for a relaxed structure of BeSbIr, as listed in OQMD via LeMat-Bulk.

## Properties
**Spin magnetization**: 0.0 μB/cell
**DFT total energy**: -5.50 eV per atom

abc: 5.764 5.764 5.764
angles: 90.00 90.00 90.00
Space group F-43m (No. 216)
Asymmetric unit:
1 Be 0.000 0.000 0.000 x4
2 Sb 0.250 0.250 0.250 x4
3 Ir 0.250 0.250 0.750 x4

---

First-principles (PBE) data for a relaxed structure of Be2SbIr, as listed in OQMD via LeMat-Bulk.

## Properties
**Spin magnetization**: 0.0 μB/cell
**DFT total energy**: -4.77 eV per atom

abc: 6.105 6.105 6.105
angles: 90.00 90.00 90.00
Space group F-43m (No. 216)
Asymmetric unit:
1 Be 0.000 0.000 0.000 x4
2 Be 0.250 0.250 0.250 x4
3 Sb 0.000 0.000 0.500 x4
4 Ir 0.250 0.250 0.750 x4

---

First-principles (PBE) data for a relaxed structure of SrBeSbIr, as listed in OQMD via LeMat-Bulk.

## Properties
**Spin magnetization**: 0.0 μB/cell
**DFT total energy**: -4.15 eV per atom

abc: 6.893 6.893 6.893
angles: 90.00 90.00 90.00
Space group F-43m (No. 216)
Asymmetric unit:
1 Sr 0.000 0.000 0.000 x4
2 Be 0.000 0.000 0.500 x4
3 Sb 0.250 0.250 0.250 x4
4 Ir 0.250 0.250 0.750 x4